# 1
Entry from the Alexandria database: a relaxed structure of Mg (GGA-PBE).

energy relative to the lowest polymorph listed for this composition = 0.13 kcal/mol of atoms
N(E_F) = 0.38 states/eV/atom
ΔE_f = 0.006 eV per atom
total magnetic moment = 0.00 μB per formula unit
total DFT energy (no corrections) = -4.77 eV/cell
symmetry = C2/m, No. 12

Unit cell a=3.1580 b=3.1580 c=8.2658 alpha=101.80 beta=101.80 gamma=60.05
Element x y z (fractional)
Mg 0.0000 0.0000 0.0000
Mg 0.2225 0.2225 0.6660
Mg 0.7775 0.7775 0.3340

---

# 2
Entry from the Alexandria database: a relaxed structure of Cd3Hg2Au (GGA-PBE).

N(E_F) = 0.18 states/eV/atom
ΔE_f = -0.027 eV per atom
total magnetic moment = 0.00 μB per formula unit
total DFT energy (no corrections) = -13.57 eV/cell
symmetry = P-1, No. 2

Unit cell a=4.7421 b=7.4462 c=7.9470 alpha=84.37 beta=86.88 gamma=76.26
Element x y z (fractional)
Cd 0.0075 0.0114 0.2531
Cd 0.2918 0.3374 0.7213
Cd 0.3088 0.3691 0.2863
Cd 0.6912 0.6309 0.7137
Cd 0.7082 0.6626 0.2787
Cd 0.9925 0.9886 0.7469
Hg 0.1900 0.6591 0.9924
Hg 0.5000 0.0000 0.0000
Hg 0.5000 0.0000 0.5000
Hg 0.8100 0.3409 0.0076
Au 0.1842 0.6923 0.5006
Au 0.8158 0.3077 0.4994

---

# 3
Entry from the Alexandria database: a relaxed structure of SrHoZnN2 (GGA-PBE).

N(E_F) = 0.51 states/eV/atom
total magnetic moment = 0.04 μB per formula unit
raw formation energy = -579 meV per atom
total DFT energy (no corrections) = -54.16 eV/cell
symmetry = P2/c, No. 13

Unit cell a=5.6036 b=5.3226 c=6.6374 alpha=90.00 beta=90.04 gamma=90.00
Element x y z (fractional)
Sr 0.0000 0.0021 0.2500
Sr 0.0000 0.9979 0.7500
Ho 0.5000 0.5005 0.2500
Ho 0.5000 0.4995 0.7500
Zn 0.5000 0.0000 0.0000
Zn 0.5000 0.0000 0.5000
N 0.2922 0.2764 0.0002
N 0.2922 0.7236 0.5002
N 0.7078 0.2764 0.4998
N 0.7078 0.7236 0.9998

---

# 4
Entry from the Alexandria database: a relaxed structure of Cr2PRhN (GGA-PBE).

N(E_F) = 1.20 states/eV/atom
total magnetic moment = 6.29 μB per formula unit
raw formation energy = 1552 meV per atom
total DFT energy (no corrections) = -32.57 eV/cell
symmetry = P4/mmm, No. 123

Unit cell a=4.9720 b=4.9720 c=4.2497 alpha=90.00 beta=90.00 gamma=90.00
Element x y z (fractional)
Cr 0.0000 0.5000 0.0000
Cr 0.5000 0.0000 0.0000
P 0.0000 0.0000 0.5000
Rh 0.0000 0.0000 0.0000
N 0.5000 0.5000 0.5000

---

# 5
Entry from the Alexandria database: a relaxed structure of VAsPd4 (GGA-PBE).

N(E_F) = 0.87 states/eV/atom
ΔE_f = 0.294 eV per atom
total magnetic moment = 0.00 μB per formula unit
total DFT energy (no corrections) = -65.56 eV/cell
symmetry = I4_1/amd, No. 141

Unit cell a=6.8109 b=6.8109 c=6.8109 alpha=113.50 beta=113.50 gamma=101.69
Element x y z (fractional)
V 0.3750 0.6250 0.7500
V 0.6250 0.3750 0.2500
As 0.1250 0.8750 0.2500
As 0.8750 0.1250 0.7500
Pd 0.0790 0.6456 0.4334
Pd 0.2878 0.3544 0.9334
Pd 0.3544 0.2878 0.4334
Pd 0.3544 0.9210 0.0666
Pd 0.6456 0.0790 0.9334
Pd 0.6456 0.7122 0.5666
Pd 0.7122 0.6456 0.0666
Pd 0.9210 0.3544 0.5666

---

# 6
Entry from the Alexandria database: a relaxed structure of Cr3Co2Rh6 (GGA-PBE).

N(E_F) = 1.28 states/eV/atom
ΔE_f = -0.007 eV per atom
total magnetic moment = 1.25 μB per formula unit
total DFT energy (no corrections) = -87.27 eV/cell
symmetry = P-1, No. 2

Unit cell a=4.5583 b=4.5814 c=7.0204 alpha=90.10 beta=95.75 gamma=99.56
Element x y z (fractional)
Cr 0.0000 0.0000 0.0000
Cr 0.0936 0.1887 0.3661
Cr 0.9064 0.8113 0.6339
Co 0.1820 0.3613 0.7287
Co 0.8180 0.6387 0.2713
Rh 0.2657 0.5372 0.0926
Rh 0.3421 0.7219 0.4543
Rh 0.4398 0.9112 0.8145
Rh 0.5602 0.0888 0.1855
Rh 0.6579 0.2781 0.5457
Rh 0.7343 0.4628 0.9074

---

# 7
Entry from the Alexandria database: a relaxed structure of Pr3ZnSi2Pd9 (GGA-PBE).

N(E_F) = 0.32 states/eV/atom
total magnetic moment = 0.00 μB per formula unit
raw formation energy = -633 meV per atom
total DFT energy (no corrections) = -82.70 eV/cell
symmetry = P-3m1, No. 164

Unit cell a=5.8596 b=5.8596 c=10.3009 alpha=90.00 beta=90.00 gamma=120.00
Element x y z (fractional)
Pr 0.0000 0.0000 0.0000
Pr 0.3333 0.6667 0.6086
Pr 0.6667 0.3333 0.3914
Zn 0.0000 0.0000 0.5000
Si 0.3333 0.6667 0.1610
Si 0.6667 0.3333 0.8390
Pd 0.0000 0.5000 0.0000
Pd 0.1616 0.3231 0.3102
Pd 0.1616 0.8384 0.3102
Pd 0.3231 0.1616 0.6898
Pd 0.5000 0.0000 0.0000
Pd 0.5000 0.5000 0.0000
Pd 0.6769 0.8384 0.3102
Pd 0.8384 0.1616 0.6898
Pd 0.8384 0.6769 0.6898

---

# 8
Entry from the Alexandria database: a relaxed structure of Ho2ZrSc (GGA-PBE).

energy relative to the lowest polymorph listed for this composition = 0.00 kcal/mol of atoms
N(E_F) = 1.63 states/eV/atom
ΔE_f = 0.075 eV per atom
total magnetic moment = 0.00 μB per formula unit
total DFT energy (no corrections) = -23.73 eV/cell
symmetry = R3m, No. 160

Unit cell a=11.0047 b=11.0047 c=11.0047 alpha=17.78 beta=17.78 gamma=17.78
Element x y z (fractional)
Ho 0.0000 0.0000 0.0000
Ho 0.1632 0.1632 0.1632
Zr 0.7478 0.7478 0.7478
Sc 0.5818 0.5818 0.5818

---

- N(E_F) of number 3 (SrHoZnN2)?
  0.51 states/eV/atom